First-principles (PBE) data for crystalline NaZrAlIn2 at its relaxed geometry, as listed in the Alexandria database.

Results
* ΔE_f: 1.048 eV/atom

a b c (Å): 5.0516 5.0516 5.3607
angles (deg): 90.00 90.00 90.00
Fractional coordinates of all 5 atoms:
Na 0.0000 0.0000 0.0000
Zr 0.0000 0.0000 0.5000
Al 0.5000 0.5000 0.5000
In 0.0000 0.5000 0.0000
In 0.5000 0.0000 0.0000